(1)
Compound: Sc2BiOs
Source: the Alexandria database
Functional: GGA-PBE
Structure: optimized geometry

Cell and atoms, written as extended XYZ:
```
4
Lattice="3.270 0.000 0.000 0.000 3.270 0.000 0.000 0.000 8.078" Properties=species:S:1:pos:R:3 pbc="T T T"
Bi 1.635 1.635 4.039
Sc 0.000 0.000 1.550
Os 1.635 1.635 0.000
Sc 0.000 0.000 6.529
```

Values from the calculation:
Its density of states at the Fermi level is 0.41 states/eV per atom. The uncorrected energy is -7.4346 eV/atom. As for the size of the total moment: 0.000 μB per formula unit. The formation energy is -491 meV per atom.

(2)
Compound: ScBi3Os
Source: the Alexandria database
Functional: GGA-PBE
Structure: optimized geometry

Cell and atoms, written as extended XYZ:
```
5
Lattice="-4.442 2.367 1.787 -2.958 -3.772 -2.355 0.218 -2.948 4.448" Properties=species:S:1:pos:R:3 pbc="T T T"
Bi -2.221 1.184 0.893
Bi -1.479 -1.886 -1.178
Bi 0.109 -1.474 2.224
Sc -3.591 -2.176 1.940
Os 0.000 0.000 0.000
```

Values from the calculation:
As for the energy above the most stable polymorph in this dataset: 0 meV per atom. Its density of states at the Fermi level is 1.53 states/eV per atom. The uncorrected energy is -5.0967 eV/atom. As for the size of the total moment: 1.164 μB per formula unit. The formation energy is 744 meV per atom.